i:
P | GGA-PBE | relaxed

abc: 12.4902 12.4902 3.2783
angles: 90.00 90.00 90.00
With the nearest neighbours (Å) after each atom.
Sites, in units of the cell vectors:
P (0.3706, 0.8523, 0.0000)  3 P 2.19-2.28
P (0.6294, 0.1477, 0.0000)  3 P 2.19-2.28
P (0.1477, 0.3706, 0.0000)  3 P 2.19-2.28
P (0.8523, 0.6294, 0.0000)  3 P 2.19-2.28
P (0.8706, 0.3523, 0.5000)  3 P 2.19-2.28
P (0.1294, 0.6477, 0.5000)  3 P 2.19-2.28
P (0.6477, 0.8706, 0.5000)  3 P 2.19-2.28
P (0.3523, 0.1294, 0.5000)  3 P 2.19-2.28
P (0.4515, 0.1904, 0.0000)  3 P 2.19-2.28
P (0.5485, 0.8096, 0.0000)  3 P 2.19-2.28
P (0.8096, 0.4515, 0.0000)  3 P 2.19-2.28
P (0.1904, 0.5485, 0.0000)  3 P 2.19-2.28
P (0.9515, 0.6904, 0.5000)  3 P 2.19-2.28
P (0.0485, 0.3096, 0.5000)  3 P 2.19-2.28
P (0.3096, 0.9515, 0.5000)  3 P 2.19-2.28
P (0.6904, 0.0485, 0.5000)  3 P 2.19-2.28

Computed properties:
SG: I4/m (87)
Density in Mg/m³: 1.61



ii:
P | GGA-PBE | relaxed

abc: 3.6934 3.6934 3.6934
angles: 96.48 96.48 140.74
With the nearest neighbours (Å) after each atom.
Sites, in units of the cell vectors:
P (0.5000, 0.5000, 0.0000)  6 P 2.48-2.54
P (0.7500, 0.2500, 0.5000)  6 P 2.48-2.54

Computed properties:
SG: I4_1/amd (141)
Density in Mg/m³: 3.43



ii is the least stable structure shown above.